[1]
Here is ZnPCl2O after structural relaxation from Alexandria via LeMat-Bulk. Energies are from GGA-PBE. Values from VASP.

```
&SYSTEM
  ibrav = 0, nat = 5, ntyp = 4
/
ATOMIC_SPECIES
Zn 65.41 Zn.upf
P 30.97 P.upf
Cl 35.45 Cl.upf
O 16.00 O.upf
ATOMIC_POSITIONS angstrom
Zn 0.000 0.000 0.000
P 0.000 0.000 2.531
Cl 0.000 2.283 0.000
Cl 2.283 0.000 0.000
O 2.283 2.283 2.531
CELL_PARAMETERS angstrom
4.566 0.000 0.000
0.000 4.566 0.000
0.000 0.000 5.062
```

Properties
Formation energy (no corrections)   802 meV per atom
Total energy   -11.323 eV per cell
SG   P4/mmm (123)
Energy above the lowest structure with this stoichiometry   654 meV per atom


[2]
Here is ZnPCl2O after structural relaxation from Alexandria via LeMat-Bulk. Energies are from GGA-PBE. Values from VASP.

```
&SYSTEM
  ibrav = 0, nat = 5, ntyp = 4
/
ATOMIC_SPECIES
Zn 65.41 Zn.upf
P 30.97 P.upf
Cl 35.45 Cl.upf
O 16.00 O.upf
ATOMIC_POSITIONS angstrom
Zn 0.000 0.000 0.000
P 2.809 2.809 0.000
Cl 0.000 2.809 1.663
Cl 2.809 0.000 1.663
O 2.809 2.809 1.663
CELL_PARAMETERS angstrom
5.618 0.000 0.000
0.000 5.618 0.000
0.000 0.000 3.327
```

Properties
Formation energy (no corrections)   148 meV per atom
Total energy   -14.594 eV per cell
SG   P4/mmm (123)
Energy above the lowest structure with this stoichiometry   0 meV per atom


[3]
Here is PaCl3O after structural relaxation from Alexandria via LeMat-Bulk. Energies are from GGA-PBE. Values from VASP.

```
&SYSTEM
  ibrav = 0, nat = 10, ntyp = 3
/
ATOMIC_SPECIES
Pa 231.04 Pa.upf
Cl 35.45 Cl.upf
O 16.00 O.upf
ATOMIC_POSITIONS angstrom
Pa -1.875 2.598 2.146
Pa 1.875 2.598 2.146
Cl 1.875 5.265 -2.146
Cl 1.875 0.068 2.146
Cl 0.000 2.598 0.134
Cl 3.750 2.598 4.158
Cl -1.875 5.128 2.146
Cl 1.875 5.128 2.146
O 3.750 2.598 1.217
O 0.000 2.598 3.074
CELL_PARAMETERS angstrom
-3.750 5.196 4.292
3.750 -5.196 4.292
3.750 5.196 -4.292
```

Properties
Formation energy (no corrections)   -2316 meV per atom
Total energy   -63.144 eV per cell
SG   Imma (74)
Energy above the lowest structure with this stoichiometry   16 meV per atom


[4]
Here is PaClO after structural relaxation from Alexandria via LeMat-Bulk. Energies are from GGA-PBE. Values from VASP.

```
&SYSTEM
  ibrav = 0, nat = 6, ntyp = 3
/
ATOMIC_SPECIES
Pa 231.04 Pa.upf
Cl 35.45 Cl.upf
O 16.00 O.upf
ATOMIC_POSITIONS angstrom
Pa 0.857 0.000 3.878
Pa 5.387 0.000 6.637
Cl 3.122 0.000 1.989
Cl 3.122 0.000 8.525
O 0.858 0.000 6.268
O 5.385 0.000 4.246
CELL_PARAMETERS angstrom
3.396 -1.960 0.000
3.396 1.960 0.000
-0.549 0.000 10.514
```

Properties
Formation energy (no corrections)   -2564 meV per atom
Total energy   -47.986 eV per cell
SG   C2/m (12)


[5]
Here is Pa2Cl8O after structural relaxation from Alexandria via LeMat-Bulk. Energies are from GGA-PBE. Values from VASP.

```
&SYSTEM
  ibrav = 0, nat = 11, ntyp = 3
/
ATOMIC_SPECIES
Pa 231.04 Pa.upf
Cl 35.45 Cl.upf
O 16.00 O.upf
ATOMIC_POSITIONS angstrom
Pa 1.961 0.000 0.703
Pa 12.187 0.000 4.441
Cl 4.233 2.907 4.445
Cl 0.999 0.000 3.260
Cl 4.321 0.000 1.544
Cl 9.914 2.907 0.699
Cl 4.233 -2.907 4.445
Cl 9.827 0.000 3.601
Cl 13.148 0.000 1.884
Cl 9.914 -2.907 0.699
O 0.000 0.000 0.000
CELL_PARAMETERS angstrom
7.991 -5.415 0.000
7.991 5.415 0.000
-1.834 0.000 5.144
```

Properties
Formation energy (no corrections)   -2053 meV per atom
Total energy   -61.310 eV per cell
SG   C2/m (12)


[6]
Here is PaCl3O after structural relaxation from Alexandria via LeMat-Bulk. Energies are from GGA-PBE. Values from VASP.

```
&SYSTEM
  ibrav = 0, nat = 10, ntyp = 3
/
ATOMIC_SPECIES
Pa 231.04 Pa.upf
Cl 35.45 Cl.upf
O 16.00 O.upf
ATOMIC_POSITIONS angstrom
Pa 2.137 0.000 0.861
Pa 6.411 0.000 7.001
Cl 0.426 0.000 6.289
Cl 2.137 1.924 2.923
Cl 3.848 0.000 6.289
Cl 4.700 0.000 1.573
Cl 6.411 1.924 4.939
Cl 8.122 0.000 1.573
O 2.137 1.924 0.087
O 6.411 1.924 7.775
CELL_PARAMETERS angstrom
8.548 0.000 0.000
0.000 3.847 0.000
0.000 0.000 7.862
```

Properties
Formation energy (no corrections)   -2332 meV per atom
Total energy   -63.305 eV per cell
SG   Pmma (51)
Energy above the lowest structure with this stoichiometry   0 meV per atom


[7]
Here is PaClO3 after structural relaxation from Alexandria via LeMat-Bulk. Energies are from GGA-PBE. Values from VASP.

```
&SYSTEM
  ibrav = 0, nat = 5, ntyp = 3
/
ATOMIC_SPECIES
Pa 231.04 Pa.upf
Cl 35.45 Cl.upf
O 16.00 O.upf
ATOMIC_POSITIONS angstrom
Pa 0.000 0.000 0.000
Cl 2.173 2.173 2.173
O 0.000 0.000 2.173
O 0.000 2.173 0.000
O 2.173 0.000 0.000
CELL_PARAMETERS angstrom
4.347 0.000 0.000
0.000 4.347 0.000
0.000 0.000 4.347
```

Properties
Formation energy (no corrections)   -2051 meV per atom
Total energy   -36.471 eV per cell
SG   Pm-3m (221)


[8]
Here is Pa2Cl4O3 after structural relaxation from Alexandria via LeMat-Bulk. Energies are from GGA-PBE. Values from VASP.

```
&SYSTEM
  ibrav = 0, nat = 9, ntyp = 3
/
ATOMIC_SPECIES
Pa 231.04 Pa.upf
Cl 35.45 Cl.upf
O 16.00 O.upf
ATOMIC_POSITIONS angstrom
Pa 0.159 0.000 3.030
Pa 11.839 0.000 4.536
Cl -1.150 0.000 6.302
Cl 3.135 0.000 2.608
Cl 8.864 0.000 4.958
Cl 13.148 0.000 1.264
O 3.879 0.000 5.476
O 5.999 0.000 3.783
O 8.119 0.000 2.090
CELL_PARAMETERS angstrom
7.423 -1.769 0.000
7.423 1.769 0.000
-2.848 0.000 7.566
```

Properties
Formation energy (no corrections)   -2470 meV per atom
Total energy   -63.481 eV per cell
SG   C2/m (12)


[9]
Here is Pa2Cl2O5 after structural relaxation from Alexandria via LeMat-Bulk. Energies are from GGA-PBE. Values from VASP.

```
&SYSTEM
  ibrav = 0, nat = 9, ntyp = 3
/
ATOMIC_SPECIES
Pa 231.04 Pa.upf
Cl 35.45 Cl.upf
O 16.00 O.upf
ATOMIC_POSITIONS angstrom
Pa 2.027 0.000 2.031
Pa 12.039 0.000 2.182
Cl 6.031 0.000 3.650
Cl 8.034 0.000 0.563
O -0.123 0.000 2.107
O 2.075 0.000 4.119
O 4.199 0.000 2.126
O 9.866 0.000 2.087
O 11.991 0.000 0.094
CELL_PARAMETERS angstrom
7.156 -2.424 0.000
7.156 2.424 0.000
-0.247 0.000 4.213
```

Properties
Formation energy (no corrections)   -2578 meV per atom
Total energy   -70.681 eV per cell
SG   C2/m (12)


[10]
Here is PaClO after structural relaxation from Alexandria via LeMat-Bulk. Energies are from GGA-PBE. Values from VASP.

```
&SYSTEM
  ibrav = 0, nat = 3, ntyp = 3
/
ATOMIC_SPECIES
Pa 231.04 Pa.upf
Cl 35.45 Cl.upf
O 16.00 O.upf
ATOMIC_POSITIONS angstrom
Pa 0.000 0.000 0.000
Cl 1.520 1.520 1.520
O 4.560 4.560 4.560
CELL_PARAMETERS angstrom
0.000 3.040 3.040
3.040 0.000 3.040
3.040 3.040 0.000
```

Properties
Formation energy (no corrections)   -1741 meV per atom
Total energy   -21.525 eV per cell
SG   F-43m (216)


[11]
Here is PaClO after structural relaxation from Alexandria via LeMat-Bulk. Energies are from GGA-PBE. Values from VASP.

```
&SYSTEM
  ibrav = 0, nat = 3, ntyp = 3
/
ATOMIC_SPECIES
Pa 231.04 Pa.upf
Cl 35.45 Cl.upf
O 16.00 O.upf
ATOMIC_POSITIONS angstrom
Pa 0.000 0.000 0.000
Cl 0.000 2.175 2.661
O 1.884 1.088 0.386
CELL_PARAMETERS angstrom
3.767 0.000 0.000
-1.884 3.263 0.000
0.000 0.000 4.738
```

Properties
Formation energy (no corrections)   -2333 meV per atom
Total energy   -23.299 eV per cell
SG   P3m1 (156)


[12]
Here is PaPb2Cl3O3 after structural relaxation from Alexandria via LeMat-Bulk. Energies are from GGA-PBE. Values from VASP.

```
&SYSTEM
  ibrav = 0, nat = 9, ntyp = 4
/
ATOMIC_SPECIES
Pa 231.04 Pa.upf
Pb 207.20 Pb.upf
Cl 35.45 Cl.upf
O 16.00 O.upf
ATOMIC_POSITIONS angstrom
Pa 0.000 0.000 0.000
Pb 0.000 4.380 1.738
Pb 3.793 2.190 1.738
Cl -1.568 2.716 0.000
Cl 3.137 0.000 0.000
Cl 2.224 3.853 0.000
O -3.038 5.262 1.738
O 0.755 1.308 1.738
O 6.076 0.000 1.738
CELL_PARAMETERS angstrom
7.586 0.000 0.000
-3.793 6.569 0.000
0.000 0.000 3.476
```

Properties
Formation energy (no corrections)   -1746 meV per atom
Total energy   -53.040 eV per cell
SG   P-62m (189)